InHgSb2 | Alexandria | GGA-PBE | relaxed; energy relative to the elements, uncorrected = 0.04 eV/atom; E above lowest polymorph = 0 meV per atom; ρ = 8.1 g/cm³
1.0
3.2644 0.0000 0.0000
0.0000 4.1334 0.0000
-0.3017 0.0000 8.5300
In Hg Sb
1 1 2
Direct
0.0000 0.0000 0.0000
0.5366 0.5000 0.2245
0.4706 0.0000 0.4990
0.4894 0.5000 0.7475

LaPr4Cd | Alexandria | GGA-PBE | relaxed; E above lowest polymorph = 39 meV per atom; ρ = 6.8 g/cm³
1.0
2.5201 -7.6907 0.0000
2.5201 7.6907 0.0000
0.0000 0.0000 10.3054
La Pr Cd
2 8 2
Direct
0.1716 0.8284 0.5000
0.8284 0.1716 0.0000
0.0043 0.9957 0.2495
0.1701 0.8299 0.9959
0.3301 0.6699 0.2486
0.4984 0.5016 0.4996
0.5016 0.4984 0.9996
0.6699 0.3301 0.7486
0.8299 0.1701 0.4959
0.9957 0.0043 0.7495
0.3344 0.6656 0.7486
0.6656 0.3344 0.2486

Co4Ni2Bi | Alexandria | GGA-PBE | relaxed; ρ = 7.2 g/cm³; total energy = -4.829 eV/atom
1.0
4.6596 0.0000 0.0000
0.0000 4.6596 0.0000
0.0000 0.0000 11.9123
Co Ni Bi
8 4 2
Direct
0.0000 0.0000 0.2192
0.0000 0.0000 0.7808
0.0000 0.5000 0.0000
0.0000 0.5000 0.5000
0.5000 0.0000 0.0000
0.5000 0.0000 0.5000
0.5000 0.5000 0.2808
0.5000 0.5000 0.7192
0.0000 0.0000 0.4045
0.0000 0.0000 0.5955
0.5000 0.5000 0.0955
0.5000 0.5000 0.9045
0.0000 0.0000 0.0000
0.5000 0.5000 0.5000

AcTmBe2Si2 | Alexandria | GGA-PBE | relaxed; energy relative to the elements, uncorrected = -0.53 eV/atom; ρ = 6.7 g/cm³
1.0
3.9477 0.0000 0.0000
-1.9739 3.4188 0.0000
0.0000 0.0000 8.5942
Ac Tm Be Si
1 1 2 2
Direct
0.0000 0.0000 0.0000
0.0000 0.0000 0.5000
0.3333 0.6667 0.7235
0.6667 0.3333 0.2765
0.3333 0.6667 0.2779
0.6667 0.3333 0.7221

LaLuMgHg | Alexandria | GGA-PBE | relaxed; ρ = 8.1 g/cm³; total energy = -3.085 eV/atom
1.0
7.6285 0.0000 0.0000
0.0000 7.6285 0.0000
0.0000 0.0000 7.6285
La Lu Mg Hg
4 4 4 4
Direct
0.0000 0.0000 0.0000
0.0000 0.5000 0.5000
0.5000 0.0000 0.5000
0.5000 0.5000 0.0000
0.0000 0.0000 0.5000
0.0000 0.5000 0.0000
0.5000 0.0000 0.0000
0.5000 0.5000 0.5000
0.2500 0.2500 0.7500
0.2500 0.7500 0.2500
0.7500 0.2500 0.2500
0.7500 0.7500 0.7500
0.2500 0.2500 0.2500
0.2500 0.7500 0.7500
0.7500 0.2500 0.7500
0.7500 0.7500 0.2500

TbPrTeSe | Alexandria | GGA-PBE | relaxed; energy relative to the elements, uncorrected = -1.54 eV/atom; ρ = 7.3 g/cm³
1.0
4.1631 0.0000 0.0000
-2.0816 3.6054 0.0000
0.0000 0.0000 23.0409
Tb Pr Te Se
3 3 3 3
Direct
0.0000 0.0000 0.0000
0.3333 0.6667 0.6667
0.6667 0.3333 0.3333
0.0000 0.0000 0.8375
0.3333 0.6667 0.5042
0.6667 0.3333 0.1709
0.0000 0.0000 0.4144
0.3333 0.6667 0.0811
0.6667 0.3333 0.7477
0.0000 0.0000 0.5907
0.3333 0.6667 0.2573
0.6667 0.3333 0.9240

NdDy5In6 | Alexandria | GGA-PBE | relaxed; ρ = 8.4 g/cm³; total energy = -4.155 eV/atom
1.0
5.3496 0.0000 0.0000
0.0000 7.5337 0.0000
-2.6486 0.0000 8.0292
Nd Dy In
1 5 6
Direct
0.0000 0.0000 0.0000
0.0000 0.5000 0.0000
0.3329 0.0000 0.6655
0.3359 0.5000 0.6717
0.6641 0.5000 0.3283
0.6671 0.0000 0.3345
0.1692 0.2543 0.3386
0.1692 0.7457 0.3386
0.5000 0.2535 0.0000
0.5000 0.7465 0.0000
0.8308 0.2543 0.6614
0.8308 0.7457 0.6614

La3Ho2TmTe6 | Alexandria | GGA-PBE | relaxed; energy relative to the elements, uncorrected = -1.42 eV/atom; ρ = 7.5 g/cm³
1.0
9.7717 -2.1998 0.0000
9.7717 2.1998 0.0000
-2.3480 0.0000 8.7055
La Ho Tm Te
3 2 1 6
Direct
0.0000 0.0000 0.0000
0.3322 0.3322 0.6663
0.6678 0.6678 0.3337
0.3328 0.3328 0.1660
0.6672 0.6672 0.8340
0.0000 0.0000 0.5000
0.1613 0.1613 0.5931
0.1705 0.1705 0.0728
0.4962 0.4962 0.2629
0.5038 0.5038 0.7371
0.8295 0.8295 0.9272
0.8387 0.8387 0.4069

- ρ of number 1 (InHgSb2)?
  8.1 g/cm³

- What is the ρ in the fifth record?
  8.1 g/cm³

- Number 6 is which compound?
  TbPrTeSe

Repeat the sixth record exactly.
TbPrTeSe | Alexandria | GGA-PBE | relaxed; energy relative to the elements, uncorrected = -1.54 eV/atom; ρ = 7.3 g/cm³
1.0
4.1631 0.0000 0.0000
-2.0816 3.6054 0.0000
0.0000 0.0000 23.0409
Tb Pr Te Se
3 3 3 3
Direct
0.0000 0.0000 0.0000
0.3333 0.6667 0.6667
0.6667 0.3333 0.3333
0.0000 0.0000 0.8375
0.3333 0.6667 0.5042
0.6667 0.3333 0.1709
0.0000 0.0000 0.4144
0.3333 0.6667 0.0811
0.6667 0.3333 0.7477
0.0000 0.0000 0.5907
0.3333 0.6667 0.2573
0.6667 0.3333 0.9240